VCuNO2 after structural relaxation. Source: Alexandria via LeMat-Bulk, functional PBE with a Hubbard U.

The structure in POSCAR format:
```
VCuNO2
1.0
-2.1609 -2.5026 1.8804
3.0920 -2.0628 0.8078
0.4681 1.9052 3.0735
O Cu N V
2 1 1 1
direct
0.0000 0.5000 0.0000
0.5000 0.0000 0.0000
0.0000 0.0000 0.0000
0.0000 0.0000 0.5000
0.5000 0.5000 0.5000
```

* total energy: -5.65 eV/atom
* total magnetic moment: 1.14 μB per cell
* symmetry: No. 123